First-principles (PBE-GGA) data for a geometry-optimized HgBRuN structure, as listed in Alexandria via LeMat-Bulk.

a b c (Å): 2.9449 3.6608 6.2678
angles (deg): 88.68 76.51 66.46
Space group P1 (No. 1)
One atom of each set of equivalent atoms:
Hg1 0.0000 0.0000 0.0000
B1 0.9403 0.6136 0.5027
Ru1 0.5471 0.2647 0.6371
N1 0.8549 0.9215 0.3657

Computed properties:
**Energy above the most stable polymorph in this dataset**: 40.1 kJ/mol of atoms
**Final energy**: -22.927 eV per cell
**Uncorrected formation energy**: 0.41 eV per atom

First-principles (PBE-GGA) data for a geometry-optimized HfBeTl2V structure, as listed in Alexandria via LeMat-Bulk.

a b c (Å): 5.2463 5.2463 4.7039
angles (deg): 90.00 90.00 90.00
Space group P4/mmm (No. 123)
One atom of each set of equivalent atoms:
Hf1 0.0000 0.0000 0.0000
Be1 0.5000 0.5000 0.0000
Tl1 0.0000 0.5000 0.5000
V1 0.0000 0.0000 0.5000

Computed properties:
**Formation enthalpy at 0 K**: 1.146 eV/atom
**Final energy**: -21.803 eV per cell

First-principles (PBE-GGA) data for a geometry-optimized Ca4CdAg2Au structure, as listed in Alexandria via LeMat-Bulk.

a b c (Å): 5.2522 5.2522 25.9123
angles (deg): 90.00 90.00 120.00
Space group R-3m (No. 166, hexagonal axes)
One atom of each set of equivalent atoms:
Ca1 0.0000 0.0000 0.1203
Ca2 0.0000 0.0000 0.3710
Cd1 0.0000 0.0000 0.5000
Ag1 0.0000 0.0000 0.2454
Au1 0.0000 0.0000 0.0000

Computed properties:
**Formation enthalpy at 0 K**: -0.437 eV/atom
**Final energy**: -64.202 eV per cell

First-principles (PBE-GGA) data for a geometry-optimized BeAlAg structure, as listed in Alexandria via LeMat-Bulk.

a b c (Å): 4.0214 3.9471 5.5916
angles (deg): 90.00 106.06 90.00
Space group Cm (No. 8)
One atom of each set of equivalent atoms:
Be1 0.0000 0.0000 0.0000
Al1 0.3645 0.0000 0.7080
Ag1 0.1234 0.5000 0.3010

Computed properties:
**Energy above the most stable polymorph in this dataset**: 0.0 kJ/mol of atoms
**Formation enthalpy at 0 K**: 0.152 eV/atom
**Final energy**: -19.730 eV per cell

First-principles (PBE-GGA) data for a geometry-optimized TbPm4Y5 structure, as listed in Alexandria via LeMat-Bulk.

a b c (Å): 17.3815 3.5579 11.1451
angles (deg): 90.00 90.07 90.00
Space group C2/m (No. 12)
One atom of each set of equivalent atoms:
Tb1 0.0000 0.0000 0.0000
Pm1 0.0290 0.5000 0.2493
Pm2 0.1530 0.0000 0.7501
Y1 0.0000 0.0000 0.5000
Y2 0.1741 0.5000 0.0560
Y3 0.1743 0.5000 0.4435

Computed properties:
**Energy above the most stable polymorph in this dataset**: 16.3 kJ/mol of atoms
**Formation enthalpy at 0 K**: 0.187 eV/atom
**Final energy**: -108.171 eV per cell

First-principles (PBE-GGA) data for a geometry-optimized Y2Fe2Ag structure, as listed in Alexandria via LeMat-Bulk.

a b c (Å): 7.1020 7.1020 3.9763
angles (deg): 90.00 90.00 90.00
Space group P4/mbm (No. 127)
One atom of each set of equivalent atoms:
Y1 0.1800 0.3200 0.0000
Fe1 0.1098 0.6098 0.5000
Ag1 0.0000 0.0000 0.5000

Computed properties:
**Energy above the most stable polymorph in this dataset**: 0.0 kJ/mol of atoms
**Formation enthalpy at 0 K**: -0.010 eV/atom
**Final energy**: -65.508 eV per cell

First-principles (PBE-GGA) data for a geometry-optimized Sr2PmCd6 structure, as listed in Alexandria via LeMat-Bulk.

a b c (Å): 8.8859 8.8859 3.6742
angles (deg): 90.00 90.00 120.00
Space group P6/mmm (No. 191)
One atom of each set of equivalent atoms:
Sr1 0.3333 0.6667 0.0000
Pm1 0.0000 0.0000 0.0000
Cd1 0.0000 0.3303 0.5000

Computed properties:
**Formation enthalpy at 0 K**: -0.316 eV/atom
**Final energy**: -16.446 eV per cell

First-principles (PBE-GGA) data for a geometry-optimized SrCr2Br structure, as listed in Alexandria via LeMat-Bulk.

a b c (Å): 3.6153 3.6153 8.7067
angles (deg): 90.00 90.00 90.00
Space group P4mm (No. 99)
One atom of each set of equivalent atoms:
Sr1 0.0000 0.0000 0.0000
Cr1 0.0000 0.0000 0.6320
Cr2 0.5000 0.5000 0.7112
Br1 0.5000 0.5000 0.1990

Computed properties:
**Energy above the most stable polymorph in this dataset**: 0.5 kJ/mol of atoms
**Final energy**: -22.354 eV per cell
**Uncorrected formation energy**: 0.06 eV per atom

First-principles (PBE-GGA) data for a geometry-optimized Be3SnBi structure, as listed in Alexandria via LeMat-Bulk.

a b c (Å): 4.8386 4.8386 4.8386
angles (deg): 90.00 90.00 90.00
Space group Pm-3m (No. 221)
One atom of each set of equivalent atoms:
Be1 0.0000 0.0000 0.5000
Sn1 0.5000 0.5000 0.5000
Bi1 0.0000 0.0000 0.0000

Computed properties:
**Energy above the most stable polymorph in this dataset**: 24.3 kJ/mol of atoms
**Formation enthalpy at 0 K**: 1.333 eV/atom
**Final energy**: -12.395 eV per cell

First-principles (PBE-GGA) data for a geometry-optimized La2Ce3YBi6 structure, as listed in Alexandria via LeMat-Bulk.

a b c (Å): 7.9989 13.8573 8.0081
angles (deg): 90.00 109.49 90.00
Space group C2/m (No. 12)
One atom of each set of equivalent atoms:
La1 0.0000 0.1656 0.0000
Ce1 0.0000 0.0000 0.5000
Ce2 0.0000 0.3307 0.5000
Y1 0.0000 0.5000 0.0000
Bi1 0.2413 0.5000 0.7454
Bi2 0.2468 0.3366 0.2513

Computed properties:
**Formation enthalpy at 0 K**: -0.894 eV/atom
**Final energy**: -136.278 eV per cell

First-principles (PBE-GGA) data for a geometry-optimized RbBa2Zr structure, as listed in Alexandria via LeMat-Bulk.

a b c (Å): 9.9803 9.9803 8.0001
angles (deg): 90.00 90.00 90.00
Space group I-42d (No. 122)
One atom of each set of equivalent atoms:
Rb1 0.0000 0.0000 0.0000
Ba1 0.2220 0.2500 0.6250
Zr1 0.0000 0.0000 0.5000

Computed properties:
**Energy above the most stable polymorph in this dataset**: 16.2 kJ/mol of atoms
**Formation enthalpy at 0 K**: 0.917 eV/atom
**Final energy**: -38.775 eV per cell

First-principles (PBE-GGA) data for a geometry-optimized BaScW structure, as listed in Alexandria via LeMat-Bulk.

a b c (Å): 4.2520 4.5880 16.3051
angles (deg): 90.00 90.00 90.00
Space group Fmm2 (No. 42)
One atom of each set of equivalent atoms:
Ba1 0.0000 0.0000 0.0000
Sc1 0.0000 0.0000 0.7167
W1 0.0000 0.0000 0.3335

Computed properties:
**Energy above the most stable polymorph in this dataset**: 0.0 kJ/mol of atoms
**Formation enthalpy at 0 K**: 0.855 eV/atom
**Final energy**: -74.572 eV per cell

Values for size of the total moment, μB per cell, ordered as above
0.000; 0.000; 0.000; 0.000; 0.000; 6.155; 0.001; 0.368; 0.000; 5.173; 5.916; 0.000